No. 1
The following is a DFT calculation (PBE-GGA) of a geometry-optimized LiZnIn2 structure.

a b c (Å): 5.2039 5.2039 4.9804
angles (deg): 97.75 97.75 38.81
Closest atoms and distances in Å follow each position.
Positions (direct):
Li 0.0000 0.0000 0.0000  7 In 2.84-3.13, 3 Zn 2.93-3.10
Zn 0.2523 0.2523 0.7505  7 In 2.86-3.16, 3 Li 2.93-3.10
In 0.5043 0.5043 0.5239  3 Zn 2.86-3.07, 4 Li 2.94-3.13, 1 In 3.01
In 0.7475 0.7475 0.2181  3 Li 2.84-3.05, 4 Zn 2.91-3.16, 1 In 3.01

Output
* ΔE_f: -0.33 eV/f.u.
* symmetry: Cm, No. 8
* N(E_F): 0.36 states/eV per atom

No. 2
The following is a DFT calculation (PBE-GGA) of a geometry-optimized LaMnTl structure.

a b c (Å): 4.8575 4.8575 3.9106
angles (deg): 90.00 90.00 120.00
Closest atoms and distances in Å follow each position.
Positions (direct):
La 0.0000 0.0000 0.0000  6 Tl 3.42, 6 Mn 3.42
Mn 0.6667 0.3333 0.5000  3 Tl 2.80
Tl 0.3333 0.6667 0.5000  3 Mn 2.80

Output
* ΔE_f: -0.01 eV/f.u.
* symmetry: P-6m2, No. 187
* N(E_F): 0.80 states/eV per atom

No. 3
The following is a DFT calculation (PBE-GGA) of a geometry-optimized PrNd4Ho2 structure.

a b c (Å): 6.2152 6.6993 11.8440
angles (deg): 90.00 104.94 90.00
Closest atoms and distances in Å follow each position.
Positions (direct):
Pr 0.0075 0.2500 0.3475  6 Nd 3.45-3.51, 2 Ho 3.50-3.66
Pr 0.9925 0.7500 0.6525  6 Nd 3.45-3.51, 2 Ho 3.50-3.66
Nd 0.1574 0.2500 0.6487  3 Ho 3.42-3.60, 3 Pr 3.45-3.51, 2 Nd 3.46
Nd 0.2949 0.7500 0.9426  4 Ho 3.40-3.47, 1 Pr 3.46, 4 Nd 3.55-3.58
Nd 0.3598 0.0013 0.2131  5 Nd 3.33-3.58, 1 Pr 3.45, 3 Ho 3.59-3.72
Nd 0.3598 0.4987 0.2131  5 Nd 3.33-3.58, 1 Pr 3.45, 3 Ho 3.59-3.72
Nd 0.6402 0.5013 0.7869  5 Nd 3.33-3.58, 1 Pr 3.45, 3 Ho 3.59-3.72
Nd 0.6402 0.9987 0.7869  5 Nd 3.33-3.58, 1 Pr 3.45, 3 Ho 3.59-3.72
Nd 0.7051 0.2500 0.0574  4 Ho 3.40-3.47, 1 Pr 3.46, 4 Nd 3.55-3.58
Nd 0.8426 0.7500 0.3513  3 Ho 3.42-3.60, 3 Pr 3.45-3.51, 2 Nd 3.46
Ho 0.1435 0.2500 0.9355  9 Nd 3.40-3.62
Ho 0.4014 0.7500 0.4978  6 Nd 3.46-3.75, 2 Pr 3.50-3.66, 2 Ho 3.56
Ho 0.5986 0.2500 0.5022  6 Nd 3.46-3.75, 2 Pr 3.50-3.66, 2 Ho 3.56
Ho 0.8565 0.7500 0.0645  9 Nd 3.40-3.62

Output
* ΔE_f: 0.82 eV/f.u.
* symmetry: P2_1/m, No. 11
* N(E_F): 1.50 states/eV per atom

No. 4
The following is a DFT calculation (PBE-GGA) of a geometry-optimized CsK3Fe4Br12 structure.

a b c (Å): 10.0228 10.0228 10.0228
angles (deg): 102.43 102.43 102.43
Closest atoms and distances in Å follow each position.
Positions (direct):
Cs 0.0000 0.0000 0.0000  6 Br 3.77
K 0.0000 0.5440 0.4560  6 Br 3.32-3.40
K 0.4560 0.0000 0.5440  6 Br 3.32-3.40
K 0.5440 0.4560 0.0000  6 Br 3.32-3.40
Fe 0.0508 0.5000 0.9492  3 Br 2.35
Fe 0.5000 0.5000 0.5000  3 Br 2.35
Fe 0.5000 0.9492 0.0508  3 Br 2.35
Fe 0.9492 0.0508 0.5000  3 Br 2.35
Br 0.0491 0.6561 0.8046  1 Fe 2.35
Br 0.0997 0.9003 0.5000  1 Fe 2.35
Br 0.1954 0.3439 0.9509  1 Fe 2.35
Br 0.3439 0.9509 0.1954  1 Fe 2.35
Br 0.3498 0.6502 0.5000  1 Fe 2.35
Br 0.5000 0.0997 0.9003  1 Fe 2.35
Br 0.5000 0.3498 0.6502  1 Fe 2.35
Br 0.6502 0.5000 0.3498  1 Fe 2.35
Br 0.6561 0.8046 0.0491  1 Fe 2.35
Br 0.8046 0.0491 0.6561  1 Fe 2.35
Br 0.9003 0.5000 0.0997  1 Fe 2.35
Br 0.9509 0.1954 0.3439  1 Fe 2.35

Output
* symmetry: R32, No. 155
* raw formation energy: -0.90 eV/atom

No. 5
The following is a DFT calculation (PBE-GGA) of a geometry-optimized LiGdSnGe structure.

a b c (Å): 5.0625 5.0625 5.0625
angles (deg): 60.00 60.00 60.00
Closest atoms and distances in Å follow each position.
Positions (direct):
Li 0.0000 0.0000 0.0000  4 Ge 3.10, 4 Sn 3.10
Gd 0.5000 0.5000 0.5000  4 Sn 3.10, 4 Ge 3.10
Sn 0.7500 0.7500 0.7500  4 Gd 3.10, 4 Li 3.10
Ge 0.2500 0.2500 0.2500  4 Gd 3.10, 4 Li 3.10

Output
* ΔE_f: -1.61 eV/f.u.
* symmetry: F-43m, No. 216
* N(E_F): 0.63 states/eV per atom

No. 6
The following is a DFT calculation (PBE-GGA) of a geometry-optimized ZnTc2Hg structure.

a b c (Å): 2.7529 4.5640 5.2798
angles (deg): 90.00 100.41 90.00
Closest atoms and distances in Å follow each position.
Positions (direct):
Zn 0.0000 0.0000 0.0000  4 Tc 2.74, 2 Hg 2.75, 2 Zn 2.75
Tc 0.2786 0.5000 0.7785  1 Tc 2.43
Tc 0.7214 0.5000 0.2215  1 Tc 2.43
Hg 0.5000 0.0000 0.5000  2 Zn 2.75, 2 Hg 2.75, 4 Tc 2.84

Output
* ΔE_f: 1.93 eV/f.u.
* symmetry: P2/m, No. 10
* N(E_F): 0.92 states/eV per atom

No. 7
The following is a DFT calculation (PBE-GGA) of a geometry-optimized DyMgScCo structure.

a b c (Å): 3.2826 3.2826 7.8942
angles (deg): 90.00 90.00 90.00
Closest atoms and distances in Å follow each position.
Positions (direct):
Dy 0.0000 0.0000 0.0000  4 Co 2.90, 1 Sc 3.14
Mg 0.5000 0.5000 0.3181  4 Sc 3.23, 4 Mg 3.28, 4 Dy 3.42
Sc 0.0000 0.0000 0.6020  4 Co 2.71
Co 0.5000 0.5000 0.7799  4 Sc 2.71, 4 Dy 2.90

Output
* ΔE_f: -0.69 eV/f.u.
* symmetry: P4mm, No. 99
* N(E_F): 0.87 states/eV per atom

No. 8
The following is a DFT calculation (PBE-GGA) of a geometry-optimized BeCr3Rh structure.

a b c (Å): 3.9229 3.9229 3.9229
angles (deg): 90.00 90.00 90.00
Closest atoms and distances in Å follow each position.
Positions (direct):
Be 0.0000 0.0000 0.0000  6 Cr 1.96
Cr 0.0000 0.0000 0.5000  2 Be 1.96
Cr 0.0000 0.5000 0.0000  2 Be 1.96
Cr 0.5000 0.0000 0.0000  2 Be 1.96
Rh 0.5000 0.5000 0.5000  12 Cr 2.77

Output
* ΔE_f: 3.58 eV/f.u.
* symmetry: Pm-3m, No. 221
* N(E_F): 1.14 states/eV per atom